Record 1
Computed, not measured: a relaxed Tb9PmY2 crystal at the PBE level of DFT.

Lattice parameters (Å, degrees): 5.051 5.051 15.151 90.00 90.00 90.00
Space group P4/mmm (No. 123)
Unique sites:
Tb 0.000 0.000 0.000 [1 per cell]
Tb 0.000 0.000 0.334 [2 per cell]
Tb 0.000 0.500 0.167 [4 per cell]
Tb 0.000 0.500 0.500 [2 per cell]
Pm 0.500 0.500 0.000 [1 per cell]
Y 0.500 0.500 0.334 [2 per cell]

Calculated values
The energy above the most stable polymorph in this dataset is 0 meV/atom. The calculation puts the total DFT energy (no corrections) at -4.926 eV per atom.

---

Record 2
Computed, not measured: a relaxed Tb2Pm4Y crystal at the PBE level of DFT.

Lattice parameters (Å, degrees): 5.354 11.388 15.629 90.00 90.00 90.00
Space group Cmce (No. 64)
Unique sites:
Tb 0.000 0.108 0.157 [8 per cell]
Pm 0.000 0.098 0.694 [8 per cell]
Pm 0.000 0.204 0.929 [8 per cell]
Y 0.000 0.000 0.500 [4 per cell]

Calculated values
The energy above the most stable polymorph in this dataset is 0 meV/atom. The calculation puts the total DFT energy (no corrections) at -4.801 eV per atom.

---

Record 3
Computed, not measured: a relaxed Tb5Pm4Y3 crystal at the PBE level of DFT.

Lattice parameters (Å, degrees): 16.202 5.935 9.418 90.00 116.69 90.00
Space group C2/m (No. 12)
Unique sites:
Tb 0.000 0.000 0.000 [2 per cell]
Tb 0.072 0.500 0.701 [4 per cell]
Tb 0.172 0.500 0.387 [4 per cell]
Pm 0.083 0.000 0.446 [4 per cell]
Pm 0.215 0.000 0.880 [4 per cell]
Y 0.000 0.500 0.000 [2 per cell]
Y 0.210 0.000 0.233 [4 per cell]

Calculated values
The calculation puts the total DFT energy (no corrections) at -4.899 eV per atom.

---

Record 4
Computed, not measured: a relaxed Tb3Pm3Y5 crystal at the PBE level of DFT.

Lattice parameters (Å, degrees): 11.2056 11.2056 3.4679 90.00 90.00 120.00
Space group P-62m (No. 189)
Unique sites:
Tb 0.0000 0.1587 0.0000 [3 per cell]
Pm 0.0000 0.4009 0.5000 [3 per cell]
Y 0.0000 0.6597 0.0000 [3 per cell]
Y 0.3333 0.6667 0.0000 [2 per cell]

Calculated values
The energy above the most stable polymorph in this dataset is 0 meV/atom. The calculation puts the total DFT energy (no corrections) at -5.149 eV per atom.

---

Computed formation energy from the elements (kJ/mol of formula units) in order:
24 108 266 369